[1]
Here is a relaxed HgMoH2Ir crystal from Alexandria. Energies are from GGA-PBE.

```
HgMoH2Ir
1.0
3.574 0.000 0.000
0.000 3.574 0.000
0.000 0.000 6.065
H Hg Mo Ir
2 1 1 1
direct
0.500 0.000 0.000 H
0.000 0.500 0.000 H
0.000 0.000 0.000 Hg
0.500 0.500 0.500 Mo
0.000 0.000 0.500 Ir
```

- E: -4.40 eV/atom
- M_tot: 1.381 μB/cell
- Space group: No. 123
- DOS at the Fermi energy: 2.9 states/eV/cell

[2]
Here is a relaxed Na2Hg2H4Ir crystal from Alexandria. Energies are from GGA-PBE.

```
Na2Hg2H4Ir
1.0
-5.703 -0.013 -1.127
1.811 -2.768 4.781
2.442 5.060 1.494
H Hg Na Ir
4 2 2 1
direct
0.602 0.801 0.801 H
0.000 0.199 0.801 H
0.000 0.801 0.199 H
0.398 0.199 0.199 H
0.000 0.671 0.671 Hg
0.000 0.329 0.329 Hg
0.500 0.250 0.750 Na
0.500 0.750 0.250 Na
0.000 0.000 0.000 Ir
```

- E: -2.94 eV/atom
- M_tot: 0.000 μB/cell
- Space group: No. 139
- DOS at the Fermi energy: 1.4 states/eV/cell

[3]
Here is a relaxed Ni2HgHIr crystal from Alexandria. Energies are from GGA-PBE.

```
Ni2HgHIr
1.0
4.774 0.000 0.000
0.000 4.774 0.000
0.000 0.000 5.065
Ni H Ir Hg
2 1 1 1
direct
0.000 0.500 0.000 Ni
0.500 0.000 0.000 Ni
0.500 0.500 0.500 H
0.000 0.000 0.500 Ir
0.000 0.000 0.000 Hg
```

- E: -2.57 eV/atom
- M_tot: 1.945 μB/cell
- Space group: No. 123
- DOS at the Fermi energy: 8.9 states/eV/cell

[4]
Here is a relaxed Hg2HIrO6 crystal from Alexandria. Energies are from GGA-PBE.

```
Hg2HIrO6
1.0
-2.805 -2.117 5.261
-5.031 -3.097 -2.280
7.237 -0.468 -1.676
O H Hg Ir
6 1 2 1
direct
0.198 0.145 0.406 O
0.075 0.680 0.791 O
0.662 0.084 0.881 O
0.834 0.835 0.387 O
0.725 0.658 0.858 O
0.129 0.214 0.040 O
0.796 0.775 0.207 H
0.790 0.248 0.631 Hg
0.310 0.890 0.770 Hg
0.979 0.975 0.027 Ir
```

- E: -4.68 eV/atom
- M_tot: 0.000 μB/cell
- Space group: No. 1

[5]
Here is a relaxed HgPHIr2 crystal from Alexandria. Energies are from GGA-PBE.

```
HgPHIr2
1.0
-3.014 -3.572 -0.586
0.314 -0.769 3.071
-3.590 2.852 1.081
Ir P H Hg
2 1 1 1
direct
0.500 0.000 0.000 Ir
0.000 0.000 0.500 Ir
0.000 0.000 0.000 P
0.000 0.500 0.000 H
0.500 0.500 0.500 Hg
```

- E: -4.93 eV/atom
- M_tot: 0.000 μB/cell
- Space group: No. 123
- DOS at the Fermi energy: 3.5 states/eV/cell

[6]
Here is a relaxed HgHIrPb2 crystal from Alexandria. Energies are from GGA-PBE.

```
HgHIrPb2
1.0
5.484 0.000 0.000
0.000 5.484 0.000
0.000 0.000 3.540
Pb H Ir Hg
2 1 1 1
direct
0.500 0.000 0.000 Pb
0.000 0.500 0.000 Pb
0.000 0.000 0.500 H
0.000 0.000 0.000 Ir
0.500 0.500 0.500 Hg
```

- E: -3.77 eV/atom
- M_tot: 0.000 μB/cell
- Space group: No. 123
- DOS at the Fermi energy: 2.6 states/eV/cell

[7]
Here is a relaxed HgH6IrPd crystal from Alexandria. Energies are from GGA-PBE.

```
HgH6IrPd
1.0
-4.862 0.976 1.373
-2.580 -1.885 4.033
-0.212 5.948 0.709
H Pd Ir Hg
6 1 1 1
direct
0.731 0.261 0.514 H
0.494 0.940 0.325 H
0.261 0.731 0.486 H
0.136 0.458 0.317 H
0.940 0.494 0.675 H
0.458 0.136 0.683 H
0.655 0.655 0.500 Pd
0.355 0.355 0.500 Ir
0.972 0.972 0.000 Hg
```

- E: -3.78 eV/atom
- M_tot: 0.000 μB/cell
- Space group: No. 5
- DOS at the Fermi energy: 1.2 states/eV/cell

[8]
Here is a relaxed Rb2HgH6Ir crystal from Alexandria. Energies are from GGA-PBE.

```
Rb2HgH6Ir
1.0
6.059 0.000 0.000
0.000 5.881 0.000
0.000 -2.940 5.093
Rb Ir H Hg
2 1 6 1
direct
0.788 0.667 0.333 Rb
0.212 0.333 0.667 Rb
0.000 0.000 0.000 Ir
0.860 0.713 0.857 H
0.860 0.143 0.287 H
0.140 0.857 0.143 H
0.860 0.143 0.857 H
0.140 0.857 0.713 H
0.140 0.287 0.143 H
0.500 0.000 0.000 Hg
```

- E: -3.28 eV/atom
- M_tot: 0.006 μB/cell
- Space group: No. 164
- DOS at the Fermi energy: 4.4 states/eV/cell

[9]
Here is a relaxed Rb2HgHIr crystal from Alexandria. Energies are from GGA-PBE.

```
Rb2HgHIr
1.0
6.353 0.000 0.000
0.000 5.195 0.000
0.000 0.000 6.353
Rb H Hg Ir
2 1 1 1
direct
0.000 0.000 0.500 Rb
0.500 0.000 0.000 Rb
0.500 0.500 0.500 H
0.000 0.500 0.000 Hg
0.000 0.000 0.000 Ir
```

- E: -2.25 eV/atom
- M_tot: 0.597 μB/cell
- Space group: No. 123
- DOS at the Fermi energy: 5.4 states/eV/cell

[10]
Here is a relaxed Rb2Hg2H4Ir crystal from Alexandria. Energies are from GGA-PBE.

```
Rb2Hg2H4Ir
1.0
6.281 0.281 0.405
-2.769 5.645 -0.405
-2.769 -2.363 5.143
H Rb Hg Ir
4 2 2 1
direct
0.651 0.826 0.826 H
0.000 0.826 0.174 H
0.349 0.174 0.174 H
0.000 0.174 0.826 H
0.500 0.750 0.250 Rb
0.500 0.250 0.750 Rb
0.000 0.327 0.327 Hg
0.000 0.673 0.673 Hg
0.000 0.000 0.000 Ir
```

- E: -2.95 eV/atom
- M_tot: 0.000 μB/cell
- Space group: No. 139
- DOS at the Fermi energy: 2.1 states/eV/cell

[11]
Here is a relaxed HgHIrRh2 crystal from Alexandria. Energies are from GGA-PBE.

```
HgHIrRh2
1.0
-1.580 3.396 -1.565
-3.706 -1.193 1.151
0.492 1.836 3.488
Rh Ir H Hg
2 1 1 1
direct
0.000 0.500 0.000 Rh
0.500 0.000 0.000 Rh
0.000 0.000 0.500 Ir
0.000 0.000 0.000 H
0.500 0.500 0.500 Hg
```

- E: -5.22 eV/atom
- M_tot: 0.000 μB/cell
- Space group: No. 123
- DOS at the Fermi energy: 3.8 states/eV/cell

[12]
Here is a relaxed Hg2H6IrRh crystal from Alexandria. Energies are from GGA-PBE.

```
Hg2H6IrRh
1.0
5.162 0.015 -0.533
0.008 5.165 -0.538
2.210 2.221 3.153
Rh H Ir Hg
1 6 1 2
direct
0.000 0.000 0.000 Rh
0.736 0.736 0.016 H
0.265 0.264 0.484 H
0.264 0.264 0.984 H
0.735 0.736 0.516 H
0.746 0.254 0.998 H
0.254 0.746 0.002 H
0.500 0.500 0.000 Ir
0.756 0.244 0.499 Hg
0.244 0.756 0.501 Hg
```

- E: -3.46 eV/atom
- M_tot: 0.000 μB/cell
- Space group: No. 2
- DOS at the Fermi energy: 1.3 states/eV/cell

[13]
Here is a relaxed HgHIr2S crystal from Alexandria. Energies are from GGA-PBE.

```
HgHIr2S
1.0
-2.919 -4.108 -0.744
2.487 -1.901 0.740
-1.385 0.097 4.901
Ir Hg S H
2 1 1 1
direct
0.000 0.000 0.500 Ir
0.500 0.000 0.000 Ir
0.000 0.000 0.000 Hg
0.500 0.500 0.500 S
0.000 0.500 0.000 H
```

- E: -3.53 eV/atom
- M_tot: 0.000 μB/cell
- Space group: No. 123
- DOS at the Fermi energy: 6.9 states/eV/cell

[14]
Here is a relaxed Sr2HgH6Ir crystal from Alexandria. Energies are from GGA-PBE.

```
Sr2HgH6Ir
1.0
-0.066 -6.145 -4.486
-1.166 -2.800 3.853
-3.542 2.024 -2.721
Sr Ir H Hg
2 1 6 1
direct
0.206 0.333 0.667 Sr
0.794 0.667 0.333 Sr
0.000 0.000 0.000 Ir
0.124 0.836 0.671 H
0.876 0.164 0.329 H
0.124 0.836 0.164 H
0.876 0.164 0.836 H
0.124 0.329 0.164 H
0.876 0.671 0.836 H
0.500 0.000 0.000 Hg
```

- E: -3.78 eV/atom
- M_tot: 0.000 μB/cell
- Space group: No. 164
- DOS at the Fermi energy: 2.2 states/eV/cell

[15]
Here is a relaxed Sr2HgHIr crystal from Alexandria. Energies are from GGA-PBE.

```
Sr2HgHIr
1.0
-2.579 2.511 4.114
-4.526 0.342 -3.046
-1.125 -3.290 1.303
Sr Ir H Hg
2 1 1 1
direct
0.500 0.000 0.000 Sr
0.000 0.500 0.000 Sr
0.000 0.000 0.500 Ir
0.000 0.000 0.000 H
0.500 0.500 0.500 Hg
```

- E: -3.50 eV/atom
- M_tot: 0.050 μB/cell
- Space group: No. 123
- DOS at the Fermi energy: 3.5 states/eV/cell

[16]
Here is a relaxed Sr2Hg2H4Ir crystal from Alexandria. Energies are from GGA-PBE.

```
Sr2Hg2H4Ir
1.0
-1.534 1.518 5.576
5.034 -3.155 -0.680
1.649 4.420 -3.674
Hg H Sr Ir
2 4 2 1
direct
0.000 0.335 0.335 Hg
0.000 0.665 0.665 Hg
0.000 0.195 0.805 H
0.000 0.805 0.195 H
0.389 0.195 0.195 H
0.611 0.805 0.805 H
0.500 0.250 0.750 Sr
0.500 0.750 0.250 Sr
0.000 0.000 0.000 Ir
```

- E: -3.21 eV/atom
- M_tot: 0.000 μB/cell
- Space group: No. 139
- DOS at the Fermi energy: 3.8 states/eV/cell

[17]
Here is a relaxed TbHgH8Ir2 crystal from Alexandria. Energies are from GGA-PBE.

```
TbHgH8Ir2
1.0
-3.135 0.362 -2.787
-0.024 -3.397 -3.594
-3.973 -5.400 0.588
H Tb Ir Hg
8 1 2 1
direct
0.430 0.964 0.660 H
0.298 0.526 0.877 H
0.054 0.036 0.340 H
0.702 0.474 0.123 H
0.946 0.964 0.660 H
0.570 0.036 0.340 H
0.911 0.551 0.627 H
0.089 0.449 0.373 H
0.500 0.500 0.500 Tb
0.267 0.296 0.170 Ir
0.733 0.704 0.830 Ir
0.000 0.000 0.000 Hg
```

- E: -4.20 eV/atom
- M_tot: 0.000 μB/cell
- Space group: No. 12
- DOS at the Fermi energy: 2.1 states/eV/cell

[18]
Here is a relaxed TlHgH6Ir crystal from Alexandria. Energies are from GGA-PBE.

```
TlHgH6Ir
1.0
-4.108 -0.199 2.740
-3.348 -3.542 -0.818
2.596 -3.297 3.655
Ir H Hg Tl
1 6 1 1
direct
0.333 0.333 0.500 Ir
0.614 0.279 0.694 H
0.279 0.614 0.306 H
0.279 0.107 0.694 H
0.107 0.614 0.694 H
0.107 0.279 0.306 H
0.614 0.107 0.306 H
0.667 0.667 0.500 Hg
0.000 0.000 0.000 Tl
```

- E: -3.45 eV/atom
- M_tot: 0.000 μB/cell
- Space group: No. 149
- DOS at the Fermi energy: 0.0 states/eV/cell

[19]
Here is a relaxed Y2HgHIr crystal from Alexandria. Energies are from GGA-PBE.

```
Y2HgHIr
1.0
-2.162 3.661 -2.795
2.466 -1.688 -4.118
-2.790 -2.226 -0.758
H Ir Y Hg
1 1 2 1
direct
0.000 0.000 0.000 H
0.000 0.000 0.500 Ir
0.000 0.500 0.000 Y
0.500 0.000 0.000 Y
0.500 0.500 0.500 Hg
```

- E: -5.66 eV/atom
- M_tot: 0.000 μB/cell
- Space group: No. 123
- DOS at the Fermi energy: 3.6 states/eV/cell

[20]
Here is a relaxed ZnHgH6Ir crystal from Alexandria. Energies are from GGA-PBE.

```
ZnHgH6Ir
1.0
4.621 0.000 0.001
2.311 4.002 0.000
0.001 -0.001 5.016
Ir H Zn Hg
1 6 1 1
direct
0.333 0.333 0.500 Ir
0.318 0.058 0.715 H
0.058 0.624 0.715 H
0.058 0.318 0.285 H
0.624 0.058 0.285 H
0.624 0.318 0.715 H
0.318 0.624 0.285 H
0.667 0.667 0.500 Zn
0.000 0.000 0.000 Hg
```

- E: -3.31 eV/atom
- M_tot: 0.000 μB/cell
- Space group: No. 149
- DOS at the Fermi energy: 2.1 states/eV/cell

[21]
Here is a relaxed KHg3H crystal from Alexandria. Energies are from GGA-PBE.

```
KHg3H
1.0
5.575 0.008 -0.012
2.768 5.794 -0.009
1.611 2.770 8.316
K Hg H
2 6 2
direct
0.575 0.648 0.129 K
0.419 0.214 0.705 K
0.260 0.287 0.113 Hg
0.331 0.913 0.452 Hg
0.999 0.664 0.376 Hg
0.739 0.569 0.734 Hg
0.101 0.770 0.811 Hg
0.877 0.088 0.033 Hg
0.656 0.232 0.405 H
0.742 0.280 0.429 H
```

- E: -1.24 eV/atom
- M_tot: 0.000 μB/cell
- Space group: No. 1
- DOS at the Fermi energy: 3.2 states/eV/cell

[22]
Here is a relaxed KHgH crystal from Alexandria. Energies are from GGA-PBE.

```
KHgH
1.0
-1.505 1.880 4.230
-4.638 -0.520 1.381
-1.118 -2.944 3.711
H K Hg
1 1 1
direct
0.250 0.250 0.250 H
0.000 0.000 0.000 K
0.500 0.500 0.500 Hg
```

- E: -1.58 eV/atom
- M_tot: 0.000 μB/cell
- Space group: No. 216
- DOS at the Fermi energy: 0.2 states/eV/cell

[23]
Here is a relaxed K2HgH6 crystal from Alexandria. Energies are from GGA-PBE.

```
K2HgH6
1.0
-1.729 -3.630 4.024
-1.351 -5.349 -1.385
3.374 -4.291 1.599
H K Hg
6 2 1
direct
0.229 0.229 0.771 H
0.229 0.771 0.229 H
0.771 0.229 0.771 H
0.771 0.229 0.229 H
0.771 0.771 0.229 H
0.229 0.771 0.771 H
0.250 0.250 0.250 K
0.750 0.750 0.750 K
0.000 0.000 0.000 Hg
```

- E: -2.28 eV/atom
- M_tot: 0.000 μB/cell
- Space group: No. 225
- DOS at the Fermi energy: 3.1 states/eV/cell

[24]
Here is a relaxed K2HgH crystal from Alexandria. Energies are from GGA-PBE.

```
K2HgH
1.0
-3.666 -1.113 1.021
-2.214 -2.097 -2.535
1.320 -8.706 2.946
K Hg H
2 1 1
direct
0.062 0.062 0.814 K
0.271 0.271 0.186 K
0.500 0.500 0.501 Hg
0.667 0.667 0.000 H
```

- E: -1.59 eV/atom
- M_tot: 0.000 μB/cell
- Space group: No. 160
- DOS at the Fermi energy: 1.9 states/eV/cell

[25]
Here is a relaxed KHgH4 crystal from Alexandria. Energies are from GGA-PBE.

```
KHgH4
1.0
2.890 -3.734 -1.308
-4.276 14.179 5.069
-2.250 4.358 10.082
Hg K H
2 2 8
direct
0.250 0.555 0.890 Hg
0.750 0.445 0.110 Hg
0.750 0.899 0.201 K
0.250 0.101 0.799 K
0.194 0.890 0.849 H
0.306 0.261 0.849 H
0.964 0.965 0.547 H
0.464 0.511 0.453 H
0.036 0.035 0.453 H
0.806 0.110 0.151 H
0.694 0.739 0.151 H
0.536 0.489 0.547 H
```

- E: -2.43 eV/atom
- M_tot: 0.000 μB/cell
- Space group: No. 15
- DOS at the Fermi energy: 2.3 states/eV/cell